An optimized crystal structure of Tm2PbO5, computed with PBE.

Calculated values
electronic total energy: -7.2305 eV per atom
spin magnetization: 0.00 μB/cell

```
Tm2PbO5
1.0
6.2186 0.0000 0.0000
0.0000 6.5864 0.0000
0.0000 0.0000 9.6387
Tm Pb O
8 4 20
direct
0.4807 0.5000 0.8308
0.5193 0.5000 0.1692
0.9807 0.5000 0.6692
0.5193 0.0000 0.1692
0.0193 0.5000 0.3308
0.4807 0.0000 0.8308
0.0193 0.0000 0.3308
0.9807 0.0000 0.6692
0.4990 0.2500 0.5001
0.5010 0.7500 0.4999
0.9990 0.7500 0.9999
0.0010 0.2500 0.0001
0.0008 0.2500 0.5000
0.9992 0.7500 0.5000
0.5008 0.7500 0.0000
0.4992 0.2500 0.0000
0.3357 0.9995 0.6049
0.6643 0.0005 0.3951
0.8357 0.0005 0.8951
0.6643 0.4995 0.3951
0.1643 0.9995 0.1049
0.3357 0.5005 0.6049
0.1643 0.5005 0.1049
0.8357 0.4995 0.8951
0.1797 0.2500 0.7997
0.8203 0.7500 0.2003
0.6797 0.7500 0.7003
0.3203 0.2500 0.2997
0.6795 0.2500 0.6999
0.3205 0.7500 0.3001
0.1795 0.7500 0.8001
0.8205 0.2500 0.1999
```

An optimized crystal structure of GdTmGaFe, computed with PBE.

Calculated values
E_form: -195 meV/atom
spin magnetization: 5.71 μB/cell
DOS at the Fermi energy: 1.607 states/eV/atom

```
GdTmGaFe
1.0
4.9241 0.0000 0.0000
2.4621 4.2644 0.0000
2.4621 1.4215 4.0205
Gd Tm Fe Ga
1 1 1 1
direct
0.0000 0.0000 0.0000
0.5000 0.5000 0.5000
0.7500 0.7500 0.7500
0.2500 0.2500 0.2500
```

An optimized crystal structure of Pm2Co3As4Pd, computed with PBE.

Calculated values
E_form: -785 meV/atom
spin magnetization: 1.13 μB/cell
DOS at the Fermi energy: 0.477 states/eV/atom

```
Pm2Co3As4Pd
1.0
4.2026 0.0000 0.0000
0.0000 4.2026 0.0000
0.0000 0.0000 9.6126
Pm Co As Pd
2 3 4 1
direct
0.5000 0.0000 0.2425
0.0000 0.5000 0.7575
0.0000 0.0000 0.5000
0.5000 0.0000 0.8899
0.0000 0.5000 0.1101
0.5000 0.5000 0.0000
0.0000 0.0000 0.0000
0.5000 0.0000 0.6470
0.0000 0.5000 0.3530
0.5000 0.5000 0.5000
```

An optimized crystal structure of Nd3ErSi4, computed with PBE.

Calculated values
electronic total energy: -5.6280 eV per atom
spin magnetization: 0.00 μB/cell
DOS at the Fermi energy: 0.919 states/eV/atom

```
Nd3ErSi4
1.0
4.2046 0.0000 0.0000
0.0000 6.2248 -0.7205
-2.1023 -2.1947 8.2961
Nd Er Si
3 1 4
direct
0.0000 0.5000 0.0000
0.1935 0.1935 0.3871
0.8065 0.8065 0.6129
0.5000 0.0000 0.0000
0.3706 0.5564 0.7413
0.6294 0.4436 0.2587
0.6294 0.8152 0.2588
0.3706 0.1848 0.7412
```